--- a ---
First-principles (PBE) data for a relaxed structure of Sm4HN3, as listed in the Alexandria database.

abc: 5.067 5.067 5.067
angles: 90.00 90.00 90.00
Space group Pm-3m (No. 221)
Inequivalent atoms, fractional coordinates:
Sm1 0.000 0.000 0.000
Sm2 0.000 0.500 0.500
H1 0.500 0.500 0.500
N1 0.000 0.000 0.500

=====

--- b ---
First-principles (PBE) data for a relaxed structure of Sm4HN3, as listed in the Alexandria database.

abc: 7.244 10.047 3.582
angles: 90.00 90.00 90.00
Space group Cmmm (No. 65)
Inequivalent atoms, fractional coordinates:
Sm1 0.000 0.245 0.000
Sm2 0.234 0.000 0.500
H1 0.000 0.500 0.000
N1 0.000 0.000 0.000
N2 0.250 0.250 0.500

=====

Which structure is most stable? b, by 11.0 kJ/mol of atoms over the runner-up.

=====

--- a ---
First-principles (PBE) data for a relaxed structure of SnHN2, as listed in the Alexandria database.

abc: 3.3598 3.3598 13.9010
angles: 90.00 90.00 120.00
Space group R-3m (No. 166, hexagonal axes)
Inequivalent atoms, fractional coordinates:
Sn1 0.0000 0.0000 0.0000
H1 0.0000 0.0000 0.5000
N1 0.0000 0.0000 0.4091

=====

--- b ---
First-principles (PBE) data for a relaxed structure of SnHN2, as listed in the Alexandria database.

abc: 3.1445 3.1445 15.9622
angles: 90.00 90.00 120.00
Space group R-3m (No. 166, hexagonal axes)
Inequivalent atoms, fractional coordinates:
Sn1 0.0000 0.0000 0.0000
H1 0.0000 0.0000 0.5000
N1 0.0000 0.0000 0.1514

=====

--- c ---
First-principles (PBE) data for a relaxed structure of SnHN2, as listed in the Alexandria database.

abc: 5.330 5.330 5.330
angles: 90.00 90.00 90.00
Space group Fm-3m (No. 225)
Inequivalent atoms, fractional coordinates:
Sn1 0.000 0.000 0.000
H1 0.000 0.000 0.500
N1 0.250 0.250 0.250

=====

Which structure is most stable? a, by 110.6 kJ/mol of atoms over the runner-up.

=====

--- a ---
First-principles (PBE) data for a relaxed structure of SnTe2HN, as listed in the Alexandria database.

abc: 6.081 6.081 3.844
angles: 90.00 90.00 90.00
Space group P4/mmm (No. 123)
Inequivalent atoms, fractional coordinates:
Sn1 0.000 0.000 0.000
Te1 0.000 0.500 0.000
H1 0.500 0.500 0.500
N1 0.000 0.000 0.500

=====

--- b ---
First-principles (PBE) data for a relaxed structure of SnTe2HN, as listed in the Alexandria database.

abc: 4.344 4.344 5.581
angles: 90.00 90.00 90.00
Space group P4/mmm (No. 123)
Inequivalent atoms, fractional coordinates:
Sn1 0.000 0.000 0.000
Te1 0.000 0.500 0.500
H1 0.500 0.500 0.500
N1 0.500 0.500 0.000

=====

Which structure is most stable? b, by 14.6 kJ/mol of atoms over the runner-up.

=====

--- a ---
First-principles (PBE) data for a relaxed structure of SrH4N2, as listed in the Alexandria database.

abc: 5.517 5.517 11.115
angles: 90.00 90.00 90.00
Space group I4_1/amd (No. 141, origin choice 2)
Inequivalent atoms, fractional coordinates:
Sr1 0.000 0.250 0.375
H1 0.000 0.103 0.081
N1 0.000 0.250 0.139

=====

--- b ---
First-principles (PBE) data for a relaxed structure of SrH4N2, as listed in the Alexandria database.

abc: 6.020 6.020 4.624
angles: 90.00 90.00 90.00
Space group P4_2/mnm (No. 136)
Inequivalent atoms, fractional coordinates:
Sr1 0.000 0.000 0.000
H1 0.034 0.230 0.500
N1 0.202 0.202 0.500

=====

Which structure is most stable? a, by 8.6 kJ/mol of atoms over the runner-up.

=====

--- a ---
First-principles (PBE) data for a relaxed structure of Sr4H2N, as listed in the Alexandria database.

abc: 6.420 6.420 10.084
angles: 90.00 90.00 90.00
Space group I-42m (No. 121)
Inequivalent atoms, fractional coordinates:
Sr1 0.221 0.221 0.131
H1 0.000 0.500 0.250
N1 0.000 0.000 0.000

=====

--- b ---
First-principles (PBE) data for a relaxed structure of Sr4H2N, as listed in the Alexandria database.

abc: 5.282 5.282 12.701
angles: 90.00 90.00 90.00
Space group I4/mmm (No. 139)
Inequivalent atoms, fractional coordinates:
Sr1 0.000 0.000 0.205
Sr2 0.000 0.500 0.000
H1 0.000 0.000 0.406
N1 0.000 0.000 0.000

=====

Which structure is most stable? a, by 3.7 kJ/mol of atoms over the runner-up.

=====

--- a ---
First-principles (PBE) data for a relaxed structure of SrHN2, as listed in the Alexandria database.

abc: 3.911 3.911 11.661
angles: 90.00 90.00 90.00
Space group I4_1/amd (No. 141, origin choice 2)
Inequivalent atoms, fractional coordinates:
Sr1 0.000 0.250 0.375
H1 0.000 0.250 0.875
N1 0.000 0.000 0.000

=====

--- b ---
First-principles (PBE) data for a relaxed structure of SrHN2, as listed in the Alexandria database.

abc: 6.011 6.011 6.011
angles: 90.00 90.00 90.00
Space group Fm-3m (No. 225)
Inequivalent atoms, fractional coordinates:
Sr1 0.000 0.000 0.000
H1 0.000 0.000 0.500
N1 0.250 0.250 0.250

=====

Which structure is most stable? a, by 65.1 kJ/mol of atoms over the runner-up.

=====

--- a ---
First-principles (PBE) data for a relaxed structure of SrHN2, as listed in the Alexandria database.

abc: 4.1276 4.1276 14.0029
angles: 90.00 90.00 120.00
Space group R-3m (No. 166, hexagonal axes)
Inequivalent atoms, fractional coordinates:
Sr1 0.0000 0.0000 0.0000
H1 0.0000 0.0000 0.5000
N1 0.0000 0.0000 0.4134

=====

--- b ---
First-principles (PBE) data for a relaxed structure of SrHN2, as listed in the Alexandria database.

abc: 3.5770 3.5770 12.9122
angles: 90.00 90.00 120.00
Space group R-3m (No. 166, hexagonal axes)
Inequivalent atoms, fractional coordinates:
Sr1 0.0000 0.0000 0.0000
H1 0.0000 0.0000 0.5000
N1 0.0000 0.0000 0.1881

=====

Which structure is most stable? a, by 50.0 kJ/mol of atoms over the runner-up.

=====

--- a ---
First-principles (PBE) data for a relaxed structure of Sr2HN, as listed in the Alexandria database.

abc: 3.7660 3.7660 19.8050
angles: 90.00 90.00 120.00
Space group R3m (No. 160, hexagonal axes)
Inequivalent atoms, fractional coordinates:
Sr1 0.0000 0.0000 0.0000
Sr2 0.0000 0.0000 0.1926
H1 0.0000 0.0000 0.4272
N1 0.0000 0.0000 0.5963

=====

--- b ---
First-principles (PBE) data for a relaxed structure of Sr2HN, as listed in the Alexandria database.

abc: 6.421 6.421 6.421
angles: 90.00 90.00 90.00
Space group Fm-3m (No. 225)
Inequivalent atoms, fractional coordinates:
Sr1 0.250 0.250 0.250
H1 0.000 0.000 0.000
N1 0.000 0.000 0.500

=====

--- c ---
First-principles (PBE) data for a relaxed structure of Sr2HN, as listed in the Alexandria database.

abc: 3.7441 3.7441 6.5839
angles: 90.00 90.00 120.00
Space group P-3m1 (No. 164)
Inequivalent atoms, fractional coordinates:
Sr1 0.3333 0.6667 0.2133
H1 0.0000 0.0000 0.5000
N1 0.0000 0.0000 0.0000

=====

--- d ---
First-principles (PBE) data for a relaxed structure of Sr2HN, as listed in the Alexandria database.

abc: 3.8248 3.8248 19.0475
angles: 90.00 90.00 120.00
Space group R-3m (No. 166, hexagonal axes)
Inequivalent atoms, fractional coordinates:
Sr1 0.0000 0.0000 0.2386
H1 0.0000 0.0000 0.0000
N1 0.0000 0.0000 0.5000

=====

Which structure is most stable? d, by 3.6 kJ/mol of atoms over the runner-up.

=====

--- a ---
First-principles (PBE) data for a relaxed structure of Sr3H3N, as listed in the Alexandria database.

abc: 7.0197 7.0197 19.1251
angles: 90.00 90.00 120.00
Space group R-3 (No. 148, hexagonal axes)
Inequivalent atoms, fractional coordinates:
Sr1 0.0062 0.6155 0.4208
H1 0.0126 0.7267 0.6195
N1 0.0000 0.0000 0.1667

=====

--- b ---
First-principles (PBE) data for a relaxed structure of Sr3H3N, as listed in the Alexandria database.

abc: 7.571 12.113 6.718
angles: 90.00 94.30 90.00
Space group C2/m (No. 12)
Inequivalent atoms, fractional coordinates:
Sr1 0.104 0.000 0.281
Sr2 0.154 0.352 0.235
H1 0.000 0.183 0.000
H2 0.000 0.262 0.500
H3 0.113 0.500 0.888
N1 0.199 0.000 0.625

=====

Which structure is most stable? a, by 15.2 kJ/mol of atoms over the runner-up.

=====

--- a ---
First-principles (PBE) data for a relaxed structure of TaTe2HN, as listed in the Alexandria database.

abc: 5.247 5.247 2.904
angles: 90.00 90.00 90.00
Space group P4/mmm (No. 123)
Inequivalent atoms, fractional coordinates:
Ta1 0.000 0.000 0.000
Te1 0.000 0.500 0.500
H1 0.500 0.500 0.500
N1 0.500 0.500 0.000

=====

--- b ---
First-principles (PBE) data for a relaxed structure of TaTe2HN, as listed in the Alexandria database.

abc: 5.589 5.589 3.882
angles: 90.00 90.00 90.00
Space group P4/mmm (No. 123)
Inequivalent atoms, fractional coordinates:
Ta1 0.000 0.000 0.000
Te1 0.000 0.500 0.000
H1 0.500 0.500 0.500
N1 0.000 0.000 0.500

=====

Which structure is most stable? b, by 49.2 kJ/mol of atoms over the runner-up.

=====

--- a ---
First-principles (PBE) data for a relaxed structure of TcHN, as listed in the Alexandria database.

abc: 3.0842 3.0842 4.7745
angles: 90.00 90.00 120.00
Space group P3m1 (No. 156)
Inequivalent atoms, fractional coordinates:
Tc1 0.0000 0.0000 0.0000
H1 0.6667 0.3333 0.2269
N1 0.3333 0.6667 0.8520

=====

--- b ---
First-principles (PBE) data for a relaxed structure of TcHN, as listed in the Alexandria database.

abc: 2.732 2.732 8.203
angles: 90.00 90.00 90.00
Space group I4mm (No. 107)
Inequivalent atoms, fractional coordinates:
Tc1 0.000 0.000 0.000
H1 0.000 0.000 0.729
N1 0.000 0.000 0.595

=====

--- c ---
First-principles (PBE) data for a relaxed structure of TcHN, as listed in the Alexandria database.

abc: 3.693 4.169 6.314
angles: 90.00 90.00 90.00
Space group Ama2 (No. 40)
Inequivalent atoms, fractional coordinates:
Tc1 0.250 0.234 0.000
H1 0.250 0.394 0.649
N1 0.250 0.286 0.340

=====

Which structure is most stable? a, by 1.5 kJ/mol of atoms over the runner-up.